Compound: TbGd2Pt
Source: the Alexandria database
Functional: PBE
Structure: optimized geometry

Summary:
offset from the most stable computed form = 0.0000 eV/atom
crystal system = tetragonal
E = -10.26 eV/atom
ΔH_f (0 K) = -2.2 eV per formula unit

a = 3.607 Å, b = 3.607 Å, c = 8.434 Å
α = 90.00°, β = 90.00°, γ = 90.00°
Element x y z (fractional)
Pt 0.500 0.500 0.000
Gd 0.000 0.000 0.804
Gd 0.000 0.000 0.196
Tb 0.500 0.500 0.500